Below is a geometry-optimized CaCeSm structure, with properties calculated at the PBE-GGA level.

POSCAR file:
```
CaCeSm
1.0
3.601 0.000 0.000
0.000 3.601 0.000
-1.800 -1.800 8.040
Ca Ce Sm
1 1 1
direct
0.999 0.999 0.998 Ca
0.325 0.325 0.650 Ce
0.676 0.676 0.352 Sm
```

Properties
ρ	5.27	g/cm3
crystal system	tetragonal
ΔE to the lowest computed polymorph	0.15	kcal/mol of atoms
E_form	0.14	eV/atom
spin magnetization	1.0	μB/f.u.
raw total energy	-4.07	eV/atom
space-group type	I4mm, No. 107